No. 1
{
  "formula": "FeRe3",
  "functional": "GGA-PBEsol",
  "state": "relaxed",
  "crystal_system": "cubic",
  "sg": "Pm-3m",
  "rho_g_cm3": 18.7,
  "e_form_mev_per_atom": 60,
  "cell": [[3.7902, 0.0000, 0.0000], [0.0000, 3.7902, 0.0000], [0.0000, 0.0000, 3.7902]],
  "species": ["Fe", "Re", "Re", "Re"],
  "fractional_positions": [[0.0000, 0.0000, 0.0000], [0.0000, 0.5000, 0.5000], [0.5000, 0.0000, 0.5000], [0.5000, 0.5000, 0.0000]]
}

---

No. 2
{
  "formula": "Sr2ZnPt",
  "functional": "GGA-PBEsol",
  "state": "relaxed",
  "crystal_system": "orthorhombic",
  "sg": "Amm2",
  "rho_g_cm3": 6.6,
  "e_form_mev_per_atom": -540,
  "cell": [[4.3849, 0.0000, 0.0000], [0.0000, 4.4504, 0.0000], [0.0000, 0.0000, 11.2763]],
  "species": ["Sr", "Sr", "Sr", "Sr", "Zn", "Zn", "Pt", "Pt"],
  "fractional_positions": [[0.0000, 0.0000, 0.0000], [0.0000, 0.5000, 0.5000], [0.5000, 0.0000, 0.2834], [0.5000, 0.5000, 0.7834], [0.0000, 0.0000, 0.6970], [0.0000, 0.5000, 0.1970], [0.5000, 0.0000, 0.5817], [0.5000, 0.5000, 0.0817]]
}

---

No. 3
{
  "formula": "Zn2Ag",
  "functional": "GGA-PBEsol",
  "state": "relaxed",
  "crystal_system": "monoclinic",
  "sg": "C2/c",
  "rho_g_cm3": 9.0,
  "e_form_mev_per_atom": -39,
  "cell": [[2.7595, -2.7562, 0.0000], [2.7595, 2.7562, 0.0000], [-2.7242, 0.0000, 11.5769]],
  "species": ["Zn", "Zn", "Zn", "Zn", "Zn", "Zn", "Zn", "Zn", "Ag", "Ag", "Ag", "Ag"],
  "fractional_positions": [[0.0423, 0.7925, 0.5852], [0.1249, 0.3749, 0.7501], [0.2075, 0.9577, 0.9148], [0.3749, 0.1249, 0.2501], [0.6251, 0.8751, 0.7499], [0.7925, 0.0423, 0.0852], [0.8751, 0.6251, 0.2499], [0.9577, 0.2075, 0.4148], [0.2939, 0.5440, 0.0884], [0.4560, 0.7061, 0.4116], [0.5440, 0.2939, 0.5884], [0.7061, 0.4560, 0.9116]]
}

---

No. 4
{
  "formula": "La2ZrAu",
  "functional": "GGA-PBEsol",
  "state": "relaxed",
  "crystal_system": "trigonal",
  "sg": "R-3m",
  "e_above_lowest_polymorph_mev_per_atom": 49,
  "rho_g_cm3": 8.6,
  "e_form_mev_per_atom": -82,
  "cell": [[3.5516, 0.0000, 0.0000], [-1.7758, 3.0758, 0.0000], [0.0000, 0.0000, 29.8653]],
  "species": ["La", "La", "La", "La", "La", "La", "Zr", "Zr", "Zr", "Au", "Au", "Au"],
  "fractional_positions": [[0.0000, 0.0000, 0.2445], [0.0000, 0.0000, 0.7555], [0.3333, 0.6667, 0.4222], [0.3333, 0.6667, 0.9112], [0.6667, 0.3333, 0.0888], [0.6667, 0.3333, 0.5778], [0.0000, 0.0000, 0.0000], [0.3333, 0.6667, 0.6667], [0.6667, 0.3333, 0.3333], [0.0000, 0.0000, 0.5000], [0.3333, 0.6667, 0.1667], [0.6667, 0.3333, 0.8333]]
}

---

No. 5
{
  "formula": "MgTi2NbCo",
  "functional": "GGA-PBEsol",
  "state": "relaxed",
  "crystal_system": "tetragonal",
  "sg": "P4/mmm",
  "rho_g_cm3": 4.2,
  "e_form_mev_per_atom": 1421,
  "cell": [[4.5668, 0.0000, 0.0000], [0.0000, 4.5668, 0.0000], [0.0000, 0.0000, 5.0980]],
  "species": ["Mg", "Ti", "Ti", "Nb", "Co"],
  "fractional_positions": [[0.0000, 0.0000, 0.0000], [0.0000, 0.5000, 0.5000], [0.5000, 0.0000, 0.5000], [0.0000, 0.0000, 0.5000], [0.5000, 0.5000, 0.0000]]
}

---

No. 6
{
  "formula": "Cs3SbS3",
  "functional": "GGA-PBEsol",
  "state": "relaxed",
  "raw_formation_energy_kj_per_mol_atoms": -96,
  "crystal_system": "cubic",
  "sg": "P2_13",
  "rho_g_cm3": 3.9,
  "cell": [[10.1953, 0.0000, 0.0000], [0.0000, 10.1953, 0.0000], [0.0000, 0.0000, 10.1953]],
  "species": ["Cs", "Cs", "Cs", "Cs", "Cs", "Cs", "Cs", "Cs", "Cs", "Cs", "Cs", "Cs", "Sb", "Sb", "Sb", "Sb", "S", "S", "S", "S", "S", "S", "S", "S", "S", "S", "S", "S"],
  "fractional_positions": [[0.0593, 0.0593, 0.0593], [0.0632, 0.9368, 0.4368], [0.1763, 0.3237, 0.6763], [0.3237, 0.6763, 0.1763], [0.4368, 0.0632, 0.9368], [0.4407, 0.9407, 0.5593], [0.5593, 0.4407, 0.9407], [0.5632, 0.5632, 0.5632], [0.6763, 0.1763, 0.3237], [0.8237, 0.8237, 0.8237], [0.9368, 0.4368, 0.0632], [0.9407, 0.5593, 0.4407], [0.2229, 0.7229, 0.7771], [0.2771, 0.2771, 0.2771], [0.7229, 0.7771, 0.2229], [0.7771, 0.2229, 0.7229], [0.0487, 0.2574, 0.3449], [0.1551, 0.9513, 0.7574], [0.2426, 0.6551, 0.5487], [0.2574, 0.3449, 0.0487], [0.3449, 0.0487, 0.2574], [0.4513, 0.7426, 0.8449], [0.5487, 0.2426, 0.6551], [0.6551, 0.5487, 0.2426], [0.7426, 0.8449, 0.4513], [0.7574, 0.1551, 0.9513], [0.8449, 0.4513, 0.7426], [0.9513, 0.7574, 0.1551]]
}

---

No. 7
{
  "formula": "ZnAg2P",
  "functional": "GGA-PBEsol",
  "state": "relaxed",
  "crystal_system": "orthorhombic",
  "sg": "Cmmm",
  "e_above_lowest_polymorph_mev_per_atom": 50,
  "rho_g_cm3": 8.3,
  "e_form_mev_per_atom": 171,
  "cell": [[3.9102, 0.0000, 0.0000], [0.0000, 3.9197, 0.0000], [0.0000, 0.0000, 8.1730]],
  "species": ["Zn", "Zn", "Ag", "Ag", "Ag", "Ag", "P", "P"],
  "fractional_positions": [[0.0000, 0.0000, 0.0000], [0.5000, 0.5000, 0.0000], [0.0000, 0.5000, 0.2396], [0.0000, 0.5000, 0.7604], [0.5000, 0.0000, 0.2396], [0.5000, 0.0000, 0.7604], [0.0000, 0.0000, 0.5000], [0.5000, 0.5000, 0.5000]]
}

---

No. 8
{
  "formula": "TaMn2Cu",
  "functional": "GGA-PBEsol",
  "state": "relaxed",
  "crystal_system": "trigonal",
  "sg": "R3m",
  "rho_g_cm3": 11.6,
  "e_form_mev_per_atom": 341,
  "cell": [[2.6308, 0.0000, 0.0000], [-1.3154, 2.2783, 0.0000], [0.0000, 0.0000, 25.4864]],
  "species": ["Ta", "Ta", "Ta", "Mn", "Mn", "Mn", "Mn", "Mn", "Mn", "Cu", "Cu", "Cu"],
  "fractional_positions": [[0.0000, 0.0000, 0.0000], [0.3333, 0.6667, 0.6667], [0.6667, 0.3333, 0.3333], [0.0000, 0.0000, 0.4934], [0.0000, 0.0000, 0.7582], [0.3333, 0.6667, 0.1600], [0.3333, 0.6667, 0.4249], [0.6667, 0.3333, 0.0915], [0.6667, 0.3333, 0.8267], [0.0000, 0.0000, 0.2417], [0.3333, 0.6667, 0.9084], [0.6667, 0.3333, 0.5751]]
}

---

No. 9
{
  "formula": "TaIrPt2",
  "functional": "GGA-PBEsol",
  "state": "relaxed",
  "crystal_system": "monoclinic",
  "sg": "C2/m",
  "e_above_lowest_polymorph_mev_per_atom": 252,
  "rho_g_cm3": 20.8,
  "e_form_mev_per_atom": -385,
  "cell": [[9.2596, 0.0000, 0.0000], [0.0000, 2.7925, 0.0000], [-0.8673, 0.0000, 4.7107]],
  "species": ["Ta", "Ta", "Ir", "Ir", "Pt", "Pt", "Pt", "Pt"],
  "fractional_positions": [[0.0000, 0.0000, 0.0000], [0.5000, 0.5000, 0.0000], [0.0000, 0.5000, 0.5000], [0.5000, 0.0000, 0.5000], [0.2487, 0.0000, 0.7489], [0.2513, 0.5000, 0.2511], [0.7487, 0.5000, 0.7489], [0.7513, 0.0000, 0.2511]]
}

---

No. 10
{
  "formula": "NaUO3",
  "functional": "GGA-PBEsol",
  "state": "relaxed",
  "raw_formation_energy_kj_per_mol_atoms": -271,
  "crystal_system": "orthorhombic",
  "sg": "Pnma",
  "rho_g_cm3": 7.3,
  "cell": [[5.8922, 0.0000, 0.0000], [0.0000, 8.2501, 0.0000], [0.0000, 0.0000, 5.7529]],
  "species": ["Na", "Na", "Na", "Na", "U", "U", "U", "U", "O", "O", "O", "O", "O", "O", "O", "O", "O", "O", "O", "O"],
  "fractional_positions": [[0.0328, 0.2500, 0.0064], [0.4672, 0.7500, 0.5064], [0.5328, 0.2500, 0.4936], [0.9672, 0.7500, 0.9936], [0.0000, 0.0000, 0.5000], [0.0000, 0.5000, 0.5000], [0.5000, 0.0000, 0.0000], [0.5000, 0.5000, 0.0000], [0.0336, 0.7500, 0.4039], [0.2010, 0.5503, 0.8016], [0.2010, 0.9497, 0.8016], [0.2990, 0.0503, 0.3016], [0.2990, 0.4497, 0.3016], [0.4664, 0.2500, 0.9039], [0.5336, 0.7500, 0.0961], [0.7010, 0.5503, 0.6984], [0.7010, 0.9497, 0.6984], [0.7990, 0.0503, 0.1984], [0.7990, 0.4497, 0.1984], [0.9664, 0.2500, 0.5961]]
}

---

No. 11
{
  "formula": "SbTeAs2",
  "functional": "GGA-PBEsol",
  "state": "relaxed",
  "raw_formation_energy_kj_per_mol_atoms": 37,
  "crystal_system": "tetragonal",
  "sg": "I-4m2",
  "e_above_lowest_polymorph_mev_per_atom": 341,
  "rho_g_cm3": 7.2,
  "cell": [[4.1177, 0.0000, 0.0000], [0.0000, 4.1177, 0.0000], [0.0000, 0.0000, 10.8199]],
  "species": ["Sb", "Sb", "Te", "Te", "As", "As", "As", "As"],
  "fractional_positions": [[0.0000, 0.0000, 0.0000], [0.5000, 0.5000, 0.5000], [0.0000, 0.5000, 0.2500], [0.5000, 0.0000, 0.7500], [0.0000, 0.0000, 0.5000], [0.0000, 0.5000, 0.7500], [0.5000, 0.0000, 0.2500], [0.5000, 0.5000, 0.0000]]
}

---

No. 12
{
  "formula": "RbMg2CuB",
  "functional": "GGA-PBEsol",
  "state": "relaxed",
  "crystal_system": "tetragonal",
  "sg": "P4/mmm",
  "rho_g_cm3": 2.9,
  "e_form_mev_per_atom": 770,
  "cell": [[4.5893, 0.0000, 0.0000], [0.0000, 4.5893, 0.0000], [0.0000, 0.0000, 5.7249]],
  "species": ["Rb", "Mg", "Mg", "Cu", "B"],
  "fractional_positions": [[0.0000, 0.0000, 0.0000], [0.0000, 0.5000, 0.5000], [0.5000, 0.0000, 0.5000], [0.5000, 0.5000, 0.0000], [0.0000, 0.0000, 0.5000]]
}

---

No. 13
{
  "formula": "Ag2H2I",
  "functional": "GGA-PBEsol",
  "state": "relaxed",
  "final_energy_ev_per_cell": -28.4,
  "crystal_system": "tetragonal",
  "sg": "I4/mmm",
  "rho_g_cm3": 6.2,
  "cell": [[3.7496, 0.0000, 0.0000], [0.0000, 3.7496, 0.0000], [0.0000, 0.0000, 13.1329]],
  "species": ["Ag", "Ag", "Ag", "Ag", "H", "H", "H", "H", "I", "I"],
  "fractional_positions": [[0.0000, 0.0000, 0.2149], [0.0000, 0.0000, 0.7851], [0.5000, 0.5000, 0.2851], [0.5000, 0.5000, 0.7149], [0.0000, 0.5000, 0.2500], [0.0000, 0.5000, 0.7500], [0.5000, 0.0000, 0.2500], [0.5000, 0.0000, 0.7500], [0.0000, 0.0000, 0.0000], [0.5000, 0.5000, 0.5000]]
}

---

No. 14
{
  "formula": "Mg2CuIr",
  "functional": "GGA-PBEsol",
  "state": "relaxed",
  "crystal_system": "orthorhombic",
  "sg": "Imm2",
  "rho_g_cm3": 8.5,
  "e_form_mev_per_atom": -157,
  "cell": [[3.1129, 0.0000, 0.0000], [0.0000, 4.3022, 0.0000], [0.0000, 0.0000, 8.9226]],
  "species": ["Mg", "Mg", "Mg", "Mg", "Cu", "Cu", "Ir", "Ir"],
  "fractional_positions": [[0.0000, 0.0000, 0.0000], [0.0000, 0.5000, 0.2230], [0.5000, 0.0000, 0.7230], [0.5000, 0.5000, 0.5000], [0.0000, 0.5000, 0.7444], [0.5000, 0.0000, 0.2444], [0.0000, 0.0000, 0.4723], [0.5000, 0.5000, 0.9723]]
}

---

No. 15
{
  "formula": "Be2FeBr",
  "functional": "GGA-PBEsol",
  "state": "relaxed",
  "raw_formation_energy_kj_per_mol_atoms": 75,
  "crystal_system": "tetragonal",
  "sg": "I-4m2",
  "e_above_lowest_polymorph_mev_per_atom": 437,
  "rho_g_cm3": 5.4,
  "cell": [[3.4295, 0.0000, 0.0000], [0.0000, 3.4295, 0.0000], [0.0000, 0.0000, 8.0511]],
  "species": ["Be", "Be", "Be", "Be", "Fe", "Fe", "Br", "Br"],
  "fractional_positions": [[0.0000, 0.0000, 0.0000], [0.0000, 0.5000, 0.2500], [0.5000, 0.0000, 0.7500], [0.5000, 0.5000, 0.5000], [0.0000, 0.5000, 0.7500], [0.5000, 0.0000, 0.2500], [0.0000, 0.0000, 0.5000], [0.5000, 0.5000, 0.0000]]
}

---

No. 16
{
  "formula": "HfGe2",
  "functional": "GGA-PBEsol",
  "state": "relaxed",
  "crystal_system": "orthorhombic",
  "sg": "Cmcm",
  "rho_g_cm3": 10.3,
  "e_form_mev_per_atom": -564,
  "cell": [[3.7727, 0.0000, 0.0000], [0.0000, 14.7268, 0.0000], [0.0000, 0.0000, 3.7466]],
  "species": ["Hf", "Hf", "Hf", "Hf", "Ge", "Ge", "Ge", "Ge", "Ge", "Ge", "Ge", "Ge"],
  "fractional_positions": [[0.0000, 0.1047, 0.2500], [0.0000, 0.8953, 0.7500], [0.5000, 0.3953, 0.7500], [0.5000, 0.6047, 0.2500], [0.0000, 0.2503, 0.7500], [0.0000, 0.4389, 0.2500], [0.0000, 0.5611, 0.7500], [0.0000, 0.7497, 0.2500], [0.5000, 0.0611, 0.7500], [0.5000, 0.2497, 0.2500], [0.5000, 0.7503, 0.7500], [0.5000, 0.9389, 0.2500]]
}

---

No. 17
{
  "formula": "Hf2Co2Au",
  "functional": "GGA-PBEsol",
  "state": "relaxed",
  "crystal_system": "tetragonal",
  "sg": "P4/mbm",
  "rho_g_cm3": 14.6,
  "e_form_mev_per_atom": -484,
  "cell": [[6.8758, 0.0000, 0.0000], [0.0000, 6.8758, 0.0000], [0.0000, 0.0000, 3.2218]],
  "species": ["Hf", "Hf", "Hf", "Hf", "Co", "Co", "Co", "Co", "Au", "Au"],
  "fractional_positions": [[0.1676, 0.3324, 0.0000], [0.3324, 0.8324, 0.0000], [0.6676, 0.1676, 0.0000], [0.8324, 0.6676, 0.0000], [0.1304, 0.6304, 0.5000], [0.3696, 0.1304, 0.5000], [0.6304, 0.8696, 0.5000], [0.8696, 0.3696, 0.5000], [0.0000, 0.0000, 0.5000], [0.5000, 0.5000, 0.5000]]
}

---

No. 18
{
  "formula": "SbRhBr",
  "functional": "GGA-PBEsol",
  "state": "relaxed",
  "raw_formation_energy_kj_per_mol_atoms": 62,
  "crystal_system": "cubic",
  "sg": "F-43m",
  "e_above_lowest_polymorph_mev_per_atom": 0,
  "rho_g_cm3": 7.1,
  "cell": [[6.5818, 0.0000, 0.0000], [0.0000, 6.5818, 0.0000], [0.0000, 0.0000, 6.5818]],
  "species": ["Sb", "Sb", "Sb", "Sb", "Rh", "Rh", "Rh", "Rh", "Br", "Br", "Br", "Br"],
  "fractional_positions": [[0.0000, 0.0000, 0.0000], [0.0000, 0.5000, 0.5000], [0.5000, 0.0000, 0.5000], [0.5000, 0.5000, 0.0000], [0.2500, 0.2500, 0.7500], [0.2500, 0.7500, 0.2500], [0.7500, 0.2500, 0.2500], [0.7500, 0.7500, 0.7500], [0.2500, 0.2500, 0.2500], [0.2500, 0.7500, 0.7500], [0.7500, 0.2500, 0.7500], [0.7500, 0.7500, 0.2500]]
}

---

No. 19
{
  "formula": "MgCr4Au",
  "functional": "GGA-PBEsol",
  "state": "relaxed",
  "crystal_system": "cubic",
  "sg": "F-43m",
  "rho_g_cm3": 9.0,
  "e_form_mev_per_atom": 336,
  "cell": [[0.0000, 3.4048, 3.4048], [3.4048, 0.0000, 3.4048], [3.4048, 3.4048, 0.0000]],
  "species": ["Mg", "Cr", "Cr", "Cr", "Cr", "Au"],
  "fractional_positions": [[0.0000, 0.0000, 0.0000], [0.3718, 0.3718, 0.3718], [0.3718, 0.3718, 0.8847], [0.3718, 0.8847, 0.3718], [0.8847, 0.3718, 0.3718], [0.7500, 0.7500, 0.7500]]
}

---

No. 20
{
  "formula": "Si2TcOs",
  "functional": "GGA-PBEsol",
  "state": "relaxed",
  "raw_formation_energy_kj_per_mol_atoms": -10,
  "crystal_system": "trigonal",
  "sg": "R3m",
  "e_above_lowest_polymorph_mev_per_atom": 389,
  "rho_g_cm3": 10.5,
  "cell": [[2.8391, 0.0000, 0.0000], [-1.4196, 2.4588, 0.0000], [0.0000, 0.0000, 23.3537]],
  "species": ["Si", "Si", "Si", "Si", "Si", "Si", "Tc", "Tc", "Tc", "Os", "Os", "Os"],
  "fractional_positions": [[0.0000, 0.0000, 0.0000], [0.0000, 0.0000, 0.2483], [0.3333, 0.6667, 0.6667], [0.3333, 0.6667, 0.9150], [0.6667, 0.3333, 0.3333], [0.6667, 0.3333, 0.5816], [0.0000, 0.0000, 0.7453], [0.3333, 0.6667, 0.4119], [0.6667, 0.3333, 0.0786], [0.0000, 0.0000, 0.5038], [0.3333, 0.6667, 0.1705], [0.6667, 0.3333, 0.8371]]
}